An optimized crystal structure of LiEr6Ag5. Source: the Alexandria database, functional PBE.

Summary:
Formation enthalpy at 0 K, eV/f.u.: -3.21
ρ, g/cm³: 9.14
Volume, Å³ per cell: 281.5

```
LiEr6Ag5
1.0
4.906 0.021 -1.432
-0.983 6.294 -3.278
-0.084 0.514 8.843
Li Ag Er
1 5 6
Direct
0.000 0.000 0.000 Li
0.333 0.333 0.666 Ag
0.000 0.500 0.000 Ag
0.341 0.841 0.683 Ag
0.667 0.667 0.334 Ag
0.659 0.159 0.317 Ag
0.832 0.579 0.663 Er
0.168 0.421 0.337 Er
0.832 0.084 0.663 Er
0.168 0.916 0.337 Er
0.500 0.745 0.000 Er
0.500 0.255 0.000 Er
```